LiLu2H | PBE | relaxed

abc: 3.3921 3.3921 26.2812
angles: 90.00 90.00 120.00
Space group R-3m (No. 166, hexagonal axes)
Inequivalent atoms, fractional coordinates:
Li: 0.0000 0.0000 0.0000 [3 per cell]
Lu: 0.0000 0.0000 0.1173 [6 per cell]
H: 0.0000 0.0000 0.5000 [3 per cell]

Output
- VASP energy (eV per formula unit) = -14.3
- density of states at the Fermi level (states/eV per cell) = 11.3
- magnetization (Bohr magnetons per cell) = 0.00

=====

LiMg2H | PBE | relaxed

abc: 6.5076 6.5076 6.5076
angles: 90.00 90.00 90.00
Space group Fm-3m (No. 225)
Inequivalent atoms, fractional coordinates:
Li: 0.0000 0.0000 0.0000 [4 per cell]
Mg: 0.2500 0.2500 0.2500 [8 per cell]
H: 0.0000 0.0000 0.5000 [4 per cell]

Output
- VASP energy (eV per formula unit) = -6.8
- density of states at the Fermi level (states/eV per cell) = 7.3
- magnetization (Bohr magnetons per cell) = 0.00

=====

LiMgH | PBE | relaxed

abc: 3.1414 3.1414 4.9651
angles: 90.00 90.00 120.00
Space group P3m1 (No. 156)
Inequivalent atoms, fractional coordinates:
Li: 0.0000 0.0000 0.0000 [1 per cell]
Mg: 0.6667 0.3333 0.5004 [1 per cell]
H: 0.6667 0.3333 0.9128 [1 per cell]

Output
- VASP energy (eV per formula unit) = -7.4
- density of states at the Fermi level (states/eV per cell) = 0.3
- magnetization (Bohr magnetons per cell) = 0.00

=====

LiMgH2 | PBE | relaxed

abc: 5.2413 5.2413 5.8276
angles: 90.00 90.00 120.00
Space group P3_121 (No. 152)
Inequivalent atoms, fractional coordinates:
Li: 0.0000 0.6591 0.1667 [3 per cell]
Mg: 0.0000 0.7139 0.6667 [3 per cell]
H: 0.0809 0.5144 0.9053 [6 per cell]

Output
- VASP energy (eV per formula unit) = -10.8
- density of states at the Fermi level (states/eV per cell) = 2.1
- magnetization (Bohr magnetons per cell) = 0.00